Below is a relaxed PuZr2Fe crystal, with properties calculated at the PBE level.

a b c (Å): 3.214 3.214 7.770
angles (deg): 90.00 90.00 90.00
Positions (direct):
1 Pu 0.000 0.000 0.000
2 Zr 0.500 0.500 0.298
3 Zr 0.500 0.500 0.702
4 Fe 0.000 0.000 0.500

ρ, g cm⁻³: 9.98
Final energy, eV/atom: -9.966
Formation energy, meV per atom: 7
Calculated volume, A^3/atom: 20.06